Density functional theory data (GGA-PBE) for a relaxed Sr2PuWN5 crystal.

Unit cell a=3.4622 b=14.6784 c=11.0835 alpha=90.00 beta=90.00 gamma=90.00
With the nearest neighbours (Å) after each atom.
Space group Cmc2_1 (No. 36)
Unique sites:
Sr 0.0000 0.1134 0.0000 [4 per cell]  5 N 2.63-2.79
Sr 0.0000 0.1368 0.5767 [4 per cell]  5 N 2.61-2.72
Pu 0.0000 0.2159 0.3002 [4 per cell]  4 N 2.17-2.19
W 0.0000 0.4953 0.7614 [4 per cell]  4 N 1.83-1.97
N 0.0000 0.0507 0.3214 [4 per cell]  2 W 1.97
N 0.0000 0.2823 0.9205 [4 per cell]  2 Pu 2.19
N 0.0000 0.2952 0.6833 [4 per cell]  2 Pu 2.17
N 0.0000 0.3827 0.3031 [4 per cell]  1 W 1.85
N 0.0000 0.4988 0.0969 [4 per cell]  1 W 1.83

Computed properties:
calculated density = 7.94 Mg/m³
E_form (uncorrected) = -0.91 eV/atom
calculated total energy = -8.940 eV/atom